1.
PAu2Br | PBE | relaxed

Properties
Energy, Ry per atom: -0.22706
Energy above the lowest structure with this stoichiometry, eV/f.u.: 0.941
Formation energy (no corrections), eV/atom: 0.320
Density, g cm⁻³: 9.073

abc: 3.8131 3.8131 7.7262
angles: 90.00 90.00 124.67
Last column: nearest neighbours and their distance in Å.
Fractional positions:
P 0.0000 0.0000 0.0000  4 Au 2.46
Au 0.5000 0.5000 0.2205  2 P 2.46
Au 0.5000 0.5000 0.7795  2 P 2.46
Br 0.0000 0.0000 0.5000  4 Au 2.79


2.
CaPt2Rh | PBE | relaxed

Properties
Energy, Ry per atom: -0.41760
Density, g cm⁻³: 12.779
ΔE_f, eV/atom: -0.3231

abc: 2.8625 4.0764 5.9370
angles: 90.00 90.00 90.00
Last column: nearest neighbours and their distance in Å.
Fractional positions:
Ca 0.0000 0.0000 0.0000  2 Ca 2.86, 2 Rh 2.97, 8 Pt 2.98
Pt 0.5000 0.5000 0.2770  3 Pt 2.65-2.86, 4 Rh 2.82
Pt 0.5000 0.5000 0.7230  3 Pt 2.65-2.86, 4 Rh 2.82
Rh 0.0000 0.0000 0.5000  8 Pt 2.82, 2 Rh 2.86, 2 Ca 2.97